1.
A plane-wave DFT calculation with PBE was carried out for a relaxed structure of YMo2Ir.

Computed properties:
crystal system: tetragonal
energy of formation from the pure elements: 0.2172 eV per atom

abc: 2.8435 2.8435 8.8523
angles: 90.00 90.00 90.00
Last column: nearest neighbours and their distance in Å.
Atoms (fractional coordinates):
Y: 0.0000 0.0000 0.0000  4 Y 2.84
Mo: 0.5000 0.5000 0.2856  4 Ir 2.76, 4 Mo 2.84
Mo: 0.5000 0.5000 0.7144  4 Ir 2.76, 4 Mo 2.84
Ir: 0.0000 0.0000 0.5000  8 Mo 2.76, 4 Ir 2.84

2.
A plane-wave DFT calculation with PBE was carried out for a relaxed structure of YMoIr2.

Computed properties:
crystal system: tetragonal
energy of formation from the pure elements: 0.0892 eV per atom

abc: 5.9609 5.9609 5.9609
angles: 103.20 103.20 122.91
Last column: nearest neighbours and their distance in Å.
Atoms (fractional coordinates):
Y: 0.0000 0.0000 0.0000  2 Mo 2.85, 4 Ir 2.96
Y: 0.7500 0.2500 0.5000  2 Mo 2.85, 4 Ir 2.96
Mo: 0.2500 0.7500 0.5000  4 Ir 2.49
Mo: 0.5000 0.5000 0.0000  4 Ir 2.49
Ir: 0.1726 0.6250 0.0476  2 Mo 2.49
Ir: 0.3750 0.4226 0.5476  2 Mo 2.49
Ir: 0.5774 0.1250 0.9524  2 Mo 2.49
Ir: 0.8750 0.8274 0.4524  2 Mo 2.49

3.
A plane-wave DFT calculation with PBE was carried out for a relaxed structure of Y4MoIr.

Computed properties:
crystal system: cubic
energy of formation from the pure elements: 0.9671 eV per atom

abc: 5.9215 5.9215 5.9215
angles: 60.00 60.00 60.00
Last column: nearest neighbours and their distance in Å.
Atoms (fractional coordinates):
Y: 0.1246 0.1246 0.1246  6 Y 2.95-2.97
Y: 0.1246 0.1246 0.6262  6 Y 2.95-2.97
Y: 0.1246 0.6262 0.1246  6 Y 2.95-2.97
Y: 0.6262 0.1246 0.1246  6 Y 2.95-2.97
Mo: 0.5000 0.5000 0.5000  12 Y 3.47, 4 Ir 3.63
Ir: 0.7500 0.7500 0.7500  12 Y 3.47, 4 Mo 3.63

4.
A plane-wave DFT calculation with PBE was carried out for a relaxed structure of YMoIr2.

Computed properties:
crystal system: cubic
energy of formation from the pure elements: 0.0888 eV per atom

abc: 4.5954 4.5954 4.5954
angles: 60.00 60.00 60.00
Last column: nearest neighbours and their distance in Å.
Atoms (fractional coordinates):
Y: 0.0000 0.0000 0.0000  4 Mo 2.81, 4 Ir 2.81
Mo: 0.7500 0.7500 0.7500  4 Ir 2.81, 4 Y 2.81
Ir: 0.2500 0.2500 0.2500  4 Ir 2.81, 4 Y 2.81
Ir: 0.5000 0.5000 0.5000  4 Mo 2.81, 4 Ir 2.81

5.
A plane-wave DFT calculation with PBE was carried out for a relaxed structure of YMo4Ir.

Computed properties:
crystal system: cubic
energy of formation from the pure elements: 0.2141 eV per atom

abc: 5.3212 5.3212 5.3212
angles: 60.00 60.00 60.00
Last column: nearest neighbours and their distance in Å.
Atoms (fractional coordinates):
Y: 0.0000 0.0000 0.0000  12 Mo 3.12, 4 Ir 3.26
Mo: 0.3735 0.3735 0.3735  6 Mo 2.63-2.69
Mo: 0.3735 0.3735 0.8794  6 Mo 2.63-2.69
Mo: 0.3735 0.8794 0.3735  6 Mo 2.63-2.69
Mo: 0.8794 0.3735 0.3735  6 Mo 2.63-2.69
Ir: 0.7500 0.7500 0.7500  12 Mo 3.12, 4 Y 3.26

6.
A plane-wave DFT calculation with PBE was carried out for a relaxed structure of YMo2Ir.

Computed properties:
crystal system: tetragonal
energy of formation from the pure elements: 0.3796 eV per atom

abc: 4.6080 4.6080 3.2929
angles: 90.00 90.00 90.00
Last column: nearest neighbours and their distance in Å.
Atoms (fractional coordinates):
Y: 0.0000 0.0000 0.0000  8 Mo 2.83
Mo: 0.0000 0.5000 0.5000  4 Ir 2.83, 4 Y 2.83
Mo: 0.5000 0.0000 0.5000  4 Ir 2.83, 4 Y 2.83
Ir: 0.5000 0.5000 0.0000  8 Mo 2.83